i) {
  "formula": "Tl2GaSn",
  "functional": "PBE-GGA",
  "state": "relaxed",
  "dos_ef_per_ev_atom": 0.4823,
  "lattice_angstrom": [[5.450, -1.150, 0.047], [-0.939, 8.714, 2.946], [-0.226, 3.829, 6.152]],
  "species": ["Tl", "Tl", "Tl", "Tl", "Ga", "Ga", "Sn", "Sn"],
  "fractional_positions": [[0.076, 0.079, 0.662], [0.507, 0.251, 0.876], [0.493, 0.749, 0.124], [0.924, 0.921, 0.338], [0.000, 0.500, 0.500], [0.500, 0.000, 0.500], [0.772, 0.492, 0.112], [0.228, 0.508, 0.888]]
}



ii) {
  "formula": "Tl2GaSn",
  "functional": "PBE-GGA",
  "state": "relaxed",
  "dos_ef_per_ev_atom": 0.6461,
  "lattice_angstrom": [[-1.566, -1.915, 2.260], [-2.115, -2.394, -1.011], [7.632, -9.108, 0.056]],
  "species": ["Tl", "Tl", "Sn", "Ga"],
  "fractional_positions": [[0.084, 0.084, 0.747], [0.916, 0.916, 0.253], [0.500, 0.500, 0.500], [0.000, 0.000, 0.000]]
}



iii) {
  "formula": "Tl2GaSn",
  "functional": "PBE-GGA",
  "state": "relaxed",
  "dos_ef_per_ev_atom": 0.2913,
  "lattice_angstrom": [[4.882, 0.000, 0.000], [0.000, 4.748, 0.000], [0.000, 0.000, 4.748]],
  "species": ["Ga", "Tl", "Tl", "Sn"],
  "fractional_positions": [[0.500, 0.500, 0.500], [0.000, 0.500, 0.000], [0.000, 0.000, 0.500], [0.500, 0.000, 0.000]]
}



iv) {
  "formula": "Tl2GaSn",
  "functional": "PBE-GGA",
  "state": "relaxed",
  "dos_ef_per_ev_atom": 0.4521,
  "lattice_angstrom": [[3.793, 0.000, 0.000], [0.000, 3.793, 0.000], [0.000, 0.000, 7.662]],
  "species": ["Tl", "Tl", "Ga", "Sn"],
  "fractional_positions": [[0.000, 0.000, 0.765], [0.000, 0.000, 0.235], [0.500, 0.500, 0.000], [0.500, 0.500, 0.500]]
}



Relative to the most stable one, in meV per atom, the structures come out at i) 0; ii) 43; iii) 7; iv) 14.



i) {
  "formula": "Tl2GaSn",
  "functional": "PBE-GGA",
  "state": "relaxed",
  "dos_ef_per_ev_atom": 0.3691,
  "lattice_angstrom": [[4.641, 0.000, 0.000], [2.321, 4.044, 0.011], [2.321, 1.318, 6.459]],
  "species": ["Tl", "Tl", "Sn", "Ga"],
  "fractional_positions": [[0.910, 0.677, 0.504], [0.690, 0.449, 0.172], [0.117, 0.878, 0.887], [0.494, 0.258, 0.754]]
}



ii) {
  "formula": "Tl2GaSn",
  "functional": "PBE-GGA",
  "state": "relaxed",
  "dos_ef_per_ev_atom": 0.4091,
  "lattice_angstrom": [[4.646, 0.000, 0.000], [2.323, 4.023, 0.000], [2.323, 1.341, 6.312]],
  "species": ["Ga", "Tl", "Tl", "Sn"],
  "fractional_positions": [[0.665, 0.665, 0.006], [0.073, 0.073, 0.781], [0.258, 0.258, 0.225], [0.504, 0.504, 0.488]]
}



iii) {
  "formula": "Tl2GaSn",
  "functional": "PBE-GGA",
  "state": "relaxed",
  "dos_ef_per_ev_atom": 0.4253,
  "lattice_angstrom": [[0.000, 3.814, 3.814], [3.814, 0.000, 3.814], [3.814, 3.814, 0.000]],
  "species": ["Tl", "Tl", "Ga", "Sn"],
  "fractional_positions": [[0.250, 0.250, 0.250], [0.750, 0.750, 0.750], [0.000, 0.000, 0.000], [0.500, 0.500, 0.500]]
}



Relative to the most stable one, in meV per atom, the structures come out at i) 0; ii) 109; iii) 38.



i) {
  "formula": "TlGa3Sn",
  "functional": "PBE-GGA",
  "state": "relaxed",
  "dos_ef_per_ev_atom": 0.4389,
  "lattice_angstrom": [[7.602, 0.000, 0.000], [0.000, 6.730, -3.778], [0.000, -0.509, 9.830]],
  "species": ["Sn", "Sn", "Sn", "Sn", "Tl", "Tl", "Tl", "Tl", "Ga", "Ga", "Ga", "Ga", "Ga", "Ga", "Ga", "Ga", "Ga", "Ga", "Ga", "Ga"],
  "fractional_positions": [[0.659, 0.145, 0.900], [0.341, 0.855, 0.100], [0.841, 0.145, 0.400], [0.159, 0.855, 0.600], [0.979, 0.333, 0.787], [0.021, 0.667, 0.213], [0.521, 0.333, 0.287], [0.479, 0.667, 0.713], [0.956, 0.208, 0.107], [0.235, 0.119, 0.446], [0.456, 0.792, 0.393], [0.634, 0.594, 0.117], [0.544, 0.208, 0.607], [0.134, 0.406, 0.383], [0.735, 0.881, 0.054], [0.044, 0.792, 0.893], [0.866, 0.594, 0.617], [0.265, 0.119, 0.946], [0.765, 0.881, 0.554], [0.366, 0.406, 0.883]]
}



ii) {
  "formula": "TlGa3Sn",
  "functional": "PBE-GGA",
  "state": "relaxed",
  "dos_ef_per_ev_atom": 0.5601,
  "lattice_angstrom": [[5.420, 0.000, 0.000], [0.000, 5.420, 0.000], [0.000, 0.000, 5.420]],
  "species": ["Tl", "Ga", "Ga", "Ga", "Sn"],
  "fractional_positions": [[0.500, 0.500, 0.500], [0.500, 0.000, 0.000], [0.000, 0.000, 0.500], [0.000, 0.500, 0.000], [0.000, 0.000, 0.000]]
}



Relative to the most stable one, in meV per atom, the structures come out at i) 0; ii) 370.



i) {
  "formula": "Tl3GaSn",
  "functional": "PBE-GGA",
  "state": "relaxed",
  "dos_ef_per_ev_atom": 0.5399,
  "lattice_angstrom": [[-2.975, 2.498, -4.355], [2.779, -3.396, -3.847], [-4.181, -4.035, 0.542]],
  "species": ["Tl", "Tl", "Tl", "Sn", "Ga"],
  "fractional_positions": [[0.000, 0.000, 0.500], [0.000, 0.500, 0.000], [0.500, 0.000, 0.000], [0.000, 0.000, 0.000], [0.500, 0.500, 0.500]]
}



ii) {
  "formula": "Tl3GaSn",
  "functional": "PBE-GGA",
  "state": "relaxed",
  "dos_ef_per_ev_atom": 0.4555,
  "lattice_angstrom": [[5.462, 0.000, 0.000], [0.000, 5.462, 0.000], [0.000, 0.000, 5.462]],
  "species": ["Tl", "Tl", "Tl", "Ga", "Sn"],
  "fractional_positions": [[0.000, 0.000, 0.500], [0.000, 0.500, 0.000], [0.500, 0.000, 0.000], [0.000, 0.000, 0.000], [0.500, 0.500, 0.500]]
}



iii) {
  "formula": "Tl3GaSn",
  "functional": "PBE-GGA",
  "state": "relaxed",
  "dos_ef_per_ev_atom": 0.4037,
  "lattice_angstrom": [[5.668, 0.000, 0.000], [0.000, 9.166, -0.810], [0.000, -0.564, 11.141]],
  "species": ["Ga", "Ga", "Ga", "Ga", "Tl", "Tl", "Tl", "Tl", "Tl", "Tl", "Tl", "Tl", "Tl", "Tl", "Tl", "Tl", "Sn", "Sn", "Sn", "Sn"],
  "fractional_positions": [[0.092, 0.903, 0.918], [0.592, 0.097, 0.582], [0.408, 0.903, 0.418], [0.908, 0.097, 0.082], [0.574, 0.021, 0.846], [0.926, 0.021, 0.346], [0.074, 0.979, 0.654], [0.426, 0.979, 0.154], [0.506, 0.322, 0.389], [0.509, 0.665, 0.937], [0.991, 0.665, 0.437], [0.491, 0.335, 0.063], [0.994, 0.322, 0.889], [0.009, 0.335, 0.563], [0.494, 0.678, 0.611], [0.006, 0.678, 0.111], [0.014, 0.360, 0.236], [0.486, 0.360, 0.736], [0.514, 0.640, 0.264], [0.986, 0.640, 0.764]]
}



Relative to the most stable one, in meV per atom, the structures come out at i) 431; ii) 251; iii) 0.



i) {
  "formula": "TmGa2Sn2",
  "functional": "PBE-GGA",
  "state": "relaxed",
  "dos_ef_per_ev_atom": 0.3167,
  "lattice_angstrom": [[-2.285, 2.604, 2.216], [-4.795, 1.231, -2.576], [-3.091, -2.859, 3.988]],
  "species": ["Sn", "Sn", "Tm", "Ga", "Ga"],
  "fractional_positions": [[0.411, 0.778, 0.399], [0.589, 0.222, 0.601], [0.000, 0.000, 0.000], [0.212, 0.414, 0.161], [0.788, 0.586, 0.839]]
}



ii) {
  "formula": "TmGa2Sn2",
  "functional": "PBE-GGA",
  "state": "relaxed",
  "dos_ef_per_ev_atom": 0.4820,
  "lattice_angstrom": [[-2.252, 4.068, 1.262], [-2.283, -0.163, -3.548], [-6.657, -7.980, 4.650]],
  "species": ["Ga", "Ga", "Ga", "Ga", "Tm", "Tm", "Sn", "Sn", "Sn", "Sn"],
  "fractional_positions": [[0.464, 0.750, 0.928], [0.536, 0.250, 0.072], [0.039, 0.750, 0.079], [0.961, 0.250, 0.921], [0.637, 0.750, 0.274], [0.363, 0.250, 0.726], [0.134, 0.250, 0.267], [0.750, 0.250, 0.501], [0.866, 0.750, 0.733], [0.250, 0.750, 0.499]]
}



Relative to the most stable one, in meV per atom, the structures come out at i) 23; ii) 0.



i) {
  "formula": "TmGaSn2",
  "functional": "PBE-GGA",
  "state": "relaxed",
  "dos_ef_per_ev_atom": 0.3934,
  "lattice_angstrom": [[-4.092, 1.332, 1.138], [0.090, -2.728, 3.516], [3.737, 6.951, 5.297]],
  "species": ["Tm", "Tm", "Sn", "Sn", "Sn", "Sn", "Ga", "Ga"],
  "fractional_positions": [[0.000, 0.500, 0.246], [0.500, 0.000, 0.754], [0.500, 0.000, 0.210], [0.000, 0.500, 0.790], [0.000, 0.000, 0.500], [0.500, 0.500, 0.500], [0.500, 0.500, 0.000], [0.000, 0.000, 0.000]]
}



ii) {
  "formula": "TmGaSn2",
  "functional": "PBE-GGA",
  "state": "relaxed",
  "dos_ef_per_ev_atom": 0.3607,
  "lattice_angstrom": [[-3.475, 0.782, -3.059], [-2.450, -3.216, 1.962], [-1.768, 3.049, 2.789]],
  "species": ["Tm", "Sn", "Sn", "Ga"],
  "fractional_positions": [[0.500, 0.500, 0.500], [0.000, 0.000, 0.500], [0.000, 0.500, 0.000], [0.500, 0.000, 0.000]]
}



iii) {
  "formula": "TmGaSn2",
  "functional": "PBE-GGA",
  "state": "relaxed",
  "dos_ef_per_ev_atom": 0.6154,
  "lattice_angstrom": [[-0.274, 0.688, 4.405], [0.910, -3.325, 2.841], [6.267, 0.867, 2.520]],
  "species": ["Tm", "Sn", "Sn", "Ga"],
  "fractional_positions": [[0.667, 0.667, 0.998], [0.089, 0.089, 0.732], [0.245, 0.245, 0.264], [0.498, 0.498, 0.506]]
}



iv) {
  "formula": "TmGaSn2",
  "functional": "PBE-GGA",
  "state": "relaxed",
  "dos_ef_per_ev_atom": 0.6373,
  "lattice_angstrom": [[-3.670, 1.284, -2.976], [-4.125, -2.636, -0.078], [-4.469, 2.372, 2.506]],
  "species": ["Sn", "Sn", "Tm", "Ga"],
  "fractional_positions": [[0.730, 0.730, 0.810], [0.270, 0.270, 0.190], [0.500, 0.500, 0.500], [0.000, 0.000, 0.000]]
}



Relative to the most stable one, in meV per atom, the structures come out at i) 31; ii) 0; iii) 259; iv) 246.



i) {
  "formula": "TmGa4Sn",
  "functional": "PBE-GGA",
  "state": "relaxed",
  "dos_ef_per_ev_atom": 0.4636,
  "lattice_angstrom": [[5.557, 0.000, 0.000], [2.778, 4.812, 0.000], [2.778, 1.604, 4.537]],
  "species": ["Ga", "Ga", "Ga", "Ga", "Tm", "Sn"],
  "fractional_positions": [[0.125, 0.625, 0.625], [0.625, 0.625, 0.125], [0.625, 0.125, 0.625], [0.625, 0.625, 0.625], [0.250, 0.250, 0.250], [0.000, 0.000, 0.000]]
}



ii) {
  "formula": "TmGa4Sn",
  "functional": "PBE-GGA",
  "state": "relaxed",
  "dos_ef_per_ev_atom": 0.4013,
  "lattice_angstrom": [[3.967, 0.000, -0.002], [0.000, 3.968, -0.003], [0.005, 0.007, 8.760]],
  "species": ["Ga", "Ga", "Ga", "Ga", "Tm", "Sn"],
  "fractional_positions": [[0.501, 0.997, 0.744], [0.001, 0.497, 0.252], [0.501, 0.997, 0.252], [0.001, 0.497, 0.744], [0.501, 0.497, 0.998], [0.001, 0.997, 0.498]]
}



Relative to the most stable one, in meV per atom, the structures come out at i) 0; ii) 79.



i) {
  "formula": "Tm2Ga2Sn",
  "functional": "PBE-GGA",
  "state": "relaxed",
  "dos_ef_per_ev_atom": 0.5636,
  "lattice_angstrom": [[4.213, 0.000, 0.992], [1.959, 5.540, 1.123], [-0.088, 0.239, 9.811]],
  "species": ["Tm", "Tm", "Tm", "Tm", "Ga", "Ga", "Ga", "Ga", "Sn", "Sn"],
  "fractional_positions": [[0.519, 0.650, 0.312], [0.481, 0.350, 0.688], [0.315, 0.267, 0.103], [0.685, 0.733, 0.897], [0.047, 0.810, 0.096], [0.872, 0.692, 0.563], [0.128, 0.308, 0.437], [0.953, 0.190, 0.904], [0.802, 0.070, 0.327], [0.198, 0.930, 0.673]]
}



ii) {
  "formula": "Tm2Ga2Sn",
  "functional": "PBE-GGA",
  "state": "relaxed",
  "dos_ef_per_ev_atom": 0.5322,
  "lattice_angstrom": [[4.028, 0.000, 0.000], [0.000, 4.048, 0.000], [0.000, -2.024, 7.000]],
  "species": ["Tm", "Tm", "Ga", "Ga", "Sn"],
  "fractional_positions": [[0.500, 0.632, 0.264], [0.500, 0.368, 0.736], [0.000, 0.800, 0.600], [0.000, 0.200, 0.400], [0.000, 0.000, 0.000]]
}



Relative to the most stable one, in meV per atom, the structures come out at i) 16; ii) 0.



i) {
  "formula": "UGa2Sn",
  "functional": "PBE-GGA",
  "state": "relaxed",
  "dos_ef_per_ev_atom": 1.9866,
  "lattice_angstrom": [[-3.079, 0.219, -1.939], [-0.361, -3.623, 0.164], [-3.456, 0.596, 5.556]],
  "species": ["Sn", "U", "Ga", "Ga"],
  "fractional_positions": [[0.500, 0.500, 0.500], [0.500, 0.500, 0.000], [0.000, 0.000, 0.729], [0.000, 0.000, 0.271]]
}



ii) {
  "formula": "UGa2Sn",
  "functional": "PBE-GGA",
  "state": "relaxed",
  "dos_ef_per_ev_atom": 1.9216,
  "lattice_angstrom": [[5.000, 0.000, 0.000], [2.500, 4.330, 0.000], [2.500, 1.443, 4.082]],
  "species": ["Sn", "Ga", "Ga", "U"],
  "fractional_positions": [[0.000, 0.000, 0.000], [0.750, 0.750, 0.750], [0.250, 0.250, 0.250], [0.500, 0.500, 0.500]]
}



Relative to the most stable one, in meV per atom, the structures come out at i) 0; ii) 72.



i) {
  "formula": "VGaSn2",
  "functional": "PBE-GGA",
  "state": "relaxed",
  "dos_ef_per_ev_atom": 0.9098,
  "lattice_angstrom": [[-3.041, 0.491, -0.233], [-1.928, -1.242, 2.069], [-0.681, 8.793, 6.951]],
  "species": ["Sn", "Sn", "Ga", "V"],
  "fractional_positions": [[0.917, 0.917, 0.250], [0.083, 0.083, 0.750], [0.500, 0.500, 0.500], [0.000, 0.000, 0.000]]
}



ii) {
  "formula": "VGaSn2",
  "functional": "PBE-GGA",
  "state": "relaxed",
  "dos_ef_per_ev_atom": 0.8643,
  "lattice_angstrom": [[0.000, 3.513, 3.513], [3.513, 0.000, 3.513], [3.513, 3.513, 0.000]],
  "species": ["Ga", "Sn", "Sn", "V"],
  "fractional_positions": [[0.500, 0.500, 0.500], [0.750, 0.750, 0.750], [0.250, 0.250, 0.250], [0.000, 0.000, 0.000]]
}



Relative to the most stable one, in meV per atom, the structures come out at i) 264; ii) 0.